No. 1
# AlW2 (PBE, optimized geometry)
data_AlW2
_chemical_formula_sum 'Al4 W8'
_space_group_name_H-M_alt 'P 63/m m c'
_space_group_IT_number 194
_space_group_name_Hall '-P 6c 2c'
_cell_length_a 5.3018
_cell_length_b 5.3018
_cell_length_c 8.5726
_cell_angle_alpha 90.00
_cell_angle_beta 90.00
_cell_angle_gamma 120.00
loop_
_atom_site_label
_atom_site_type_symbol
_atom_site_fract_x
_atom_site_fract_y
_atom_site_fract_z
Al1 Al 0.3333 0.6667 0.0629
W1 W 0.0000 0.0000 0.0000
W2 W 0.1712 0.3424 0.7500
# Crystal system = hexagonal

***

No. 2
# Al5W8 (PBE, optimized geometry)
data_Al5W8
_chemical_formula_sum 'Al15 W24'
_space_group_name_H-M_alt 'R -3 m'
_space_group_IT_number 166
_space_group_name_Hall '-R 3 2"'
_cell_length_a 5.2478
_cell_length_b 5.2478
_cell_length_c 26.9635
_cell_angle_alpha 90.00
_cell_angle_beta 90.00
_cell_angle_gamma 120.00
loop_
_atom_site_label
_atom_site_type_symbol
_atom_site_fract_x
_atom_site_fract_y
_atom_site_fract_z
Al1 Al 0.0000 0.0000 0.0000
Al2 Al 0.0000 0.0000 0.1661
Al3 Al 0.0000 0.0000 0.4515
W1 W 0.0000 0.0000 0.3503
W2 W 0.0037 0.5018 0.4128
# Crystal system = trigonal

***

Values for final energy, eV per atom, ordered as above
-9.441 -9.271
Values for spin magnetization, μB/f.u., ordered as above
0.0 0.1